1.
Sm6SnSe4: optimized geometry, GGA-PBE.

Summary:
**E_form (uncorrected)**: -1479 meV/atom
**Fermi-level density of states**: 9.36 states/eV/f.u.
**Crystal system**: orthorhombic

```
Sm6SnSe4
1.0
4.248 0.000 0.000
-2.124 6.794 0.000
0.000 0.000 21.107
Sm Sn Se
12 2 8
Direct
0.500 0.000 0.000
0.500 0.000 0.500
0.047 0.094 0.336
0.953 0.906 0.664
0.953 0.906 0.836
0.047 0.094 0.164
0.771 0.542 0.411
0.229 0.458 0.589
0.229 0.458 0.911
0.771 0.542 0.089
0.334 0.668 0.250
0.666 0.332 0.750
0.665 0.331 0.250
0.335 0.669 0.750
0.861 0.722 0.539
0.410 0.819 0.124
0.139 0.278 0.461
0.590 0.181 0.876
0.861 0.722 0.961
0.139 0.278 0.039
0.590 0.181 0.624
0.410 0.819 0.376
```

=====

2.
Sm3SnSe: optimized geometry, GGA-PBE.

Summary:
**E_form (uncorrected)**: -908 meV/atom
**Fermi-level density of states**: 5.11 states/eV/f.u.
**Crystal system**: monoclinic

```
Sm3SnSe
1.0
-6.683 -1.203 0.242
0.876 -6.620 -8.711
0.990 -3.793 8.500
Sm Sn Se
12 4 4
Direct
0.585 0.334 0.281
0.087 0.532 0.328
0.915 0.834 0.781
0.696 0.826 0.418
0.413 0.032 0.828
0.196 0.674 0.082
0.804 0.326 0.918
0.587 0.968 0.172
0.304 0.174 0.582
0.085 0.166 0.219
0.913 0.468 0.672
0.415 0.666 0.719
0.288 0.343 0.989
0.212 0.843 0.489
0.788 0.157 0.511
0.712 0.657 0.011
0.733 0.602 0.503
0.767 0.102 0.003
0.233 0.898 0.997
0.267 0.398 0.497
```

=====

3.
SmSn2Se4: optimized geometry, GGA-PBE.

Summary:
**E_form (uncorrected)**: -872 meV/atom
**Fermi-level density of states**: 3.74 states/eV/f.u.
**Crystal system**: orthorhombic

```
SmSn2Se4
1.0
4.053 0.000 0.000
-2.026 6.895 0.000
0.000 0.000 13.836
Sm Sn Se
2 4 8
Direct
0.610 0.221 0.750
0.390 0.779 0.250
0.133 0.266 0.435
0.867 0.734 0.935
0.133 0.266 0.065
0.867 0.734 0.565
0.783 0.567 0.127
0.783 0.567 0.373
0.217 0.433 0.873
0.217 0.433 0.627
0.960 0.919 0.750
0.040 0.081 0.250
0.500 0.000 0.000
0.500 0.000 0.500
```